(P)
Density functional theory data (PBE-GGA) for a relaxed structure of Dy3CdFe.

V (A^3/atom): 25.6

abc: 8.167 8.167 8.646
angles: 91.85 91.85 26.42
Element x y z (fractional)
Dy  0.059  0.059  0.226
Dy  0.246  0.246  0.796
Dy  0.402  0.402  0.439
Dy  0.598  0.598  0.561
Dy  0.754  0.754  0.204
Dy  0.941  0.941  0.774
Cd  0.405  0.405  0.067
Cd  0.595  0.595  0.933
Fe  0.226  0.226  0.462
Fe  0.774  0.774  0.538

=====

(Q)
Density functional theory data (PBE-GGA) for a relaxed structure of Dy3CdFe.

V (A^3/atom): 27.2

abc: 5.145 5.145 5.145
angles: 90.00 90.00 90.00
Element x y z (fractional)
Dy  0.000  0.000  0.500
Dy  0.000  0.500  0.000
Dy  0.500  0.000  0.000
Cd  0.500  0.500  0.500
Fe  0.000  0.000  0.000

=====

Most stable: (P). Least stable: (Q).

=====

(P)
Density functional theory data (PBE-GGA) for a relaxed structure of Dy2CdFe.

V (A^3/atom): 27.7

abc: 10.120 10.120 10.120
angles: 20.46 20.46 20.46
Element x y z (fractional)
Dy  0.111  0.111  0.111
Dy  0.889  0.889  0.889
Cd  0.000  0.000  0.000
Fe  0.500  0.500  0.500

=====

(Q)
Density functional theory data (PBE-GGA) for a relaxed structure of Dy2CdFe.

V (A^3/atom): 22.7

abc: 3.436 3.436 7.685
angles: 90.00 90.00 90.00
Element x y z (fractional)
Dy  0.000  0.000  0.211
Dy  0.000  0.000  0.789
Cd  0.500  0.500  0.500
Fe  0.500  0.500  0.000

=====

(R)
Density functional theory data (PBE-GGA) for a relaxed structure of Dy2CdFe.

V (A^3/atom): 22.9

abc: 5.061 5.061 5.061
angles: 60.00 60.00 60.00
Element x y z (fractional)
Dy  0.250  0.250  0.250
Dy  0.750  0.750  0.750
Cd  0.000  0.000  0.000
Fe  0.500  0.500  0.500

=====

Most stable: (Q). Least stable: (P).

=====

(P)
Density functional theory data (PBE-GGA) for a relaxed structure of DyCdGa.

V (A^3/atom): 25.2

abc: 8.898 8.898 4.952
angles: 90.00 90.00 157.28
Element x y z (fractional)
Dy  0.164  0.836  0.750
Dy  0.836  0.164  0.250
Cd  0.038  0.962  0.250
Cd  0.962  0.038  0.750
Ga  0.332  0.668  0.750
Ga  0.668  0.332  0.250

=====

(Q)
Density functional theory data (PBE-GGA) for a relaxed structure of DyCdGa.

V (A^3/atom): 22.9

abc: 6.288 6.288 6.288
angles: 148.25 148.25 45.52
Element x y z (fractional)
Dy  0.000  0.000  0.000
Cd  0.688  0.688  0.000
Ga  0.335  0.335  0.000

=====

Most stable: (Q). Least stable: (P).

=====

(P)
Density functional theory data (PBE-GGA) for a relaxed structure of DyCdGa.

V (A^3/atom): 22.4

abc: 4.683 4.683 3.543
angles: 90.00 90.00 120.00
Element x y z (fractional)
Dy  0.000  0.000  0.000
Cd  0.667  0.333  0.499
Ga  0.333  0.667  0.501

=====

(Q)
Density functional theory data (PBE-GGA) for a relaxed structure of DyCdGa.

V (A^3/atom): 22.3

abc: 7.249 7.249 4.408
angles: 90.00 90.00 120.00
Element x y z (fractional)
Dy  0.000  0.577  0.000
Dy  0.423  0.423  0.000
Dy  0.577  0.000  0.000
Cd  0.000  0.249  0.500
Cd  0.249  0.000  0.500
Cd  0.751  0.751  0.500
Ga  0.000  0.000  0.000
Ga  0.333  0.667  0.500
Ga  0.667  0.333  0.500

=====

Most stable: (Q). Least stable: (P).

=====

(P)
Density functional theory data (PBE-GGA) for a relaxed structure of Dy6CdGa2.

V (A^3/atom): 27.4

abc: 8.632 8.632 8.632
angles: 111.90 111.58 105.02
Element x y z (fractional)
Dy  0.026  0.822  0.205
Dy  0.244  0.543  0.299
Dy  0.244  0.945  0.701
Dy  0.277  0.318  0.595
Dy  0.277  0.682  0.958
Dy  0.383  0.178  0.205
Dy  0.617  0.822  0.795
Dy  0.723  0.318  0.042
Dy  0.723  0.682  0.405
Dy  0.756  0.055  0.299
Dy  0.756  0.457  0.701
Dy  0.974  0.178  0.795
Cd  0.000  0.500  0.500
Cd  0.500  0.000  0.500
Ga  0.000  0.147  0.147
Ga  0.000  0.853  0.853
Ga  0.379  0.379  0.000
Ga  0.621  0.621  0.000

=====

(Q)
Density functional theory data (PBE-GGA) for a relaxed structure of Dy6CdGa2.

V (A^3/atom): 29.7

abc: 8.701 8.701 8.701
angles: 146.77 131.65 59.93
Element x y z (fractional)
Dy  0.077  0.330  0.747
Dy  0.241  0.000  0.241
Dy  0.417  0.670  0.747
Dy  0.583  0.330  0.253
Dy  0.759  0.000  0.759
Dy  0.923  0.670  0.253
Cd  0.500  0.500  0.000
Ga  0.168  0.168  0.000
Ga  0.832  0.832  0.000

=====

Most stable: (P). Least stable: (Q).

=====

(P)
Density functional theory data (PBE-GGA) for a relaxed structure of DyCdInGa.

V (A^3/atom): 22.6

abc: 4.420 4.421 4.622
angles: 90.00 90.00 90.00
Element x y z (fractional)
Dy  0.000  0.000  0.000
Cd  0.500  0.000  0.500
In  0.000  0.500  0.500
Ga  0.500  0.500  0.000

=====

(Q)
Density functional theory data (PBE-GGA) for a relaxed structure of DyCdInGa.

V (A^3/atom): 23.2

abc: 5.084 5.084 5.084
angles: 60.00 60.00 60.00
Element x y z (fractional)
Dy  0.000  0.000  0.000
Cd  0.250  0.250  0.250
In  0.500  0.500  0.500
Ga  0.750  0.750  0.750

=====

Most stable: (P). Least stable: (Q).